(1)
# LiLuCd2 | Alexandria | PBE | optimized geometry
# * VASP energy: -2.294 eV/atom
# * energy above the most stable polymorph in this dataset: 28 meV/atom
data_LiLuCd2
_chemical_formula_sum 'Li4 Lu4 Cd8'
_cell_length_a 7.049
_cell_length_b 7.049
_cell_length_c 7.049
_cell_angle_alpha 90.00
_cell_angle_beta 90.00
_cell_angle_gamma 90.00
_space_group_name_H-M_alt 'F m -3 m'
_space_group_IT_number 225
_space_group_name_Hall '-F 4 2 3'
loop_
_atom_site_label
_atom_site_fract_x
_atom_site_fract_y
_atom_site_fract_z
Li1 0.000 0.000 0.000
Lu1 0.000 0.000 0.500
Cd1 0.250 0.250 0.250

***

(2)
# Li2LuCd | Alexandria | PBE | optimized geometry
# * VASP energy: -2.363 eV/atom
# * energy above the most stable polymorph in this dataset: 0 meV/atom
data_Li2LuCd
_chemical_formula_sum 'Li8 Lu4 Cd4'
_cell_length_a 6.825
_cell_length_b 6.825
_cell_length_c 6.825
_cell_angle_alpha 90.00
_cell_angle_beta 90.00
_cell_angle_gamma 90.00
_space_group_name_H-M_alt 'F m -3 m'
_space_group_IT_number 225
_space_group_name_Hall '-F 4 2 3'
loop_
_atom_site_label
_atom_site_fract_x
_atom_site_fract_y
_atom_site_fract_z
Li1 0.250 0.250 0.250
Lu1 0.000 0.000 0.000
Cd1 0.000 0.000 0.500

***

(3)
# Li4LuCd | Alexandria | PBE | optimized geometry
# * VASP energy: -2.223 eV/atom
data_Li4LuCd
_chemical_formula_sum 'Li16 Lu4 Cd4'
_cell_length_a 7.723
_cell_length_b 7.723
_cell_length_c 7.723
_cell_angle_alpha 90.00
_cell_angle_beta 90.00
_cell_angle_gamma 90.00
_space_group_name_H-M_alt 'F -4 3 m'
_space_group_IT_number 216
_space_group_name_Hall 'F -4 2 3'
loop_
_atom_site_label
_atom_site_fract_x
_atom_site_fract_y
_atom_site_fract_z
Li1 0.123 0.123 0.377
Lu1 0.000 0.000 0.000
Cd1 0.250 0.250 0.750

***

(4)
# Li2LuCd | Alexandria | PBE | optimized geometry
# * VASP energy: -2.311 eV/atom
# * energy above the most stable polymorph in this dataset: 52 meV/atom
data_Li2LuCd
_chemical_formula_sum 'Li2 Lu1 Cd1'
_cell_length_a 4.421
_cell_length_b 4.421
_cell_length_c 4.617
_cell_angle_alpha 90.00
_cell_angle_beta 90.00
_cell_angle_gamma 90.00
_space_group_name_H-M_alt 'P 4/m m m'
_space_group_IT_number 123
_space_group_name_Hall '-P 4 2'
loop_
_atom_site_label
_atom_site_fract_x
_atom_site_fract_y
_atom_site_fract_z
Li1 0.000 0.500 0.000
Lu1 0.000 0.000 0.500
Cd1 0.500 0.500 0.500

***

(5)
# LiLuMgCd | Alexandria | PBE | optimized geometry
# * VASP energy: -2.399 eV/atom
data_LiLuMgCd
_chemical_formula_sum 'Li4 Lu4 Mg4 Cd4'
_cell_length_a 7.026
_cell_length_b 7.026
_cell_length_c 7.026
_cell_angle_alpha 90.00
_cell_angle_beta 90.00
_cell_angle_gamma 90.00
_space_group_name_H-M_alt 'F -4 3 m'
_space_group_IT_number 216
_space_group_name_Hall 'F -4 2 3'
loop_
_atom_site_label
_atom_site_fract_x
_atom_site_fract_y
_atom_site_fract_z
Li1 0.000 0.000 0.000
Lu1 0.250 0.250 0.250
Mg1 0.250 0.250 0.750
Cd1 0.000 0.000 0.500

***

(6)
# LiNdLuCd | Alexandria | PBE | optimized geometry
# * VASP energy: -3.136 eV/atom
data_LiNdLuCd
_chemical_formula_sum 'Li4 Nd4 Lu4 Cd4'
_cell_length_a 7.492
_cell_length_b 7.492
_cell_length_c 7.492
_cell_angle_alpha 90.00
_cell_angle_beta 90.00
_cell_angle_gamma 90.00
_space_group_name_H-M_alt 'F -4 3 m'
_space_group_IT_number 216
_space_group_name_Hall 'F -4 2 3'
loop_
_atom_site_label
_atom_site_fract_x
_atom_site_fract_y
_atom_site_fract_z
Li1 0.000 0.000 0.000
Nd1 0.250 0.250 0.750
Lu1 0.250 0.250 0.250
Cd1 0.000 0.000 0.500

***

(7)
# LiLuCdPb | Alexandria | PBE | optimized geometry
# * VASP energy: -3.085 eV/atom
data_LiLuCdPb
_chemical_formula_sum 'Li4 Lu4 Cd4 Pb4'
_cell_length_a 7.241
_cell_length_b 7.241
_cell_length_c 7.241
_cell_angle_alpha 90.00
_cell_angle_beta 90.00
_cell_angle_gamma 90.00
_space_group_name_H-M_alt 'F -4 3 m'
_space_group_IT_number 216
_space_group_name_Hall 'F -4 2 3'
loop_
_atom_site_label
_atom_site_fract_x
_atom_site_fract_y
_atom_site_fract_z
Li1 0.000 0.000 0.000
Lu1 0.000 0.000 0.500
Cd1 0.250 0.250 0.750
Pb1 0.250 0.250 0.250

***

(8)
# LiLuCdPd | Alexandria | PBE | optimized geometry
# * VASP energy: -3.624 eV/atom
data_LiLuCdPd
_chemical_formula_sum 'Li4 Lu4 Cd4 Pd4'
_cell_length_a 6.728
_cell_length_b 6.728
_cell_length_c 6.728
_cell_angle_alpha 90.00
_cell_angle_beta 90.00
_cell_angle_gamma 90.00
_space_group_name_H-M_alt 'F -4 3 m'
_space_group_IT_number 216
_space_group_name_Hall 'F -4 2 3'
loop_
_atom_site_label
_atom_site_fract_x
_atom_site_fract_y
_atom_site_fract_z
Li1 0.000 0.000 0.000
Lu1 0.250 0.250 0.250
Cd1 0.250 0.250 0.750
Pd1 0.000 0.000 0.500

***

(9)
# LiPmLuCd | Alexandria | PBE | optimized geometry
# * VASP energy: -3.133 eV/atom
data_LiPmLuCd
_chemical_formula_sum 'Li4 Pm4 Lu4 Cd4'
_cell_length_a 7.464
_cell_length_b 7.464
_cell_length_c 7.464
_cell_angle_alpha 90.00
_cell_angle_beta 90.00
_cell_angle_gamma 90.00
_space_group_name_H-M_alt 'F -4 3 m'
_space_group_IT_number 216
_space_group_name_Hall 'F -4 2 3'
loop_
_atom_site_label
_atom_site_fract_x
_atom_site_fract_y
_atom_site_fract_z
Li1 0.000 0.000 0.000
Pm1 0.250 0.250 0.750
Lu1 0.250 0.250 0.250
Cd1 0.000 0.000 0.500

***

(10)
# LiPrLuCd | Alexandria | PBE | optimized geometry
# * VASP energy: -3.138 eV/atom
data_LiPrLuCd
_chemical_formula_sum 'Li4 Pr4 Lu4 Cd4'
_cell_length_a 7.521
_cell_length_b 7.521
_cell_length_c 7.521
_cell_angle_alpha 90.00
_cell_angle_beta 90.00
_cell_angle_gamma 90.00
_space_group_name_H-M_alt 'F -4 3 m'
_space_group_IT_number 216
_space_group_name_Hall 'F -4 2 3'
loop_
_atom_site_label
_atom_site_fract_x
_atom_site_fract_y
_atom_site_fract_z
Li1 0.000 0.000 0.000
Pr1 0.250 0.250 0.750
Lu1 0.250 0.250 0.250
Cd1 0.000 0.000 0.500

***

(11)
# LiLuCdPt | Alexandria | PBE | optimized geometry
# * VASP energy: -4.006 eV/atom
data_LiLuCdPt
_chemical_formula_sum 'Li4 Lu4 Cd4 Pt4'
_cell_length_a 6.707
_cell_length_b 6.707
_cell_length_c 6.707
_cell_angle_alpha 90.00
_cell_angle_beta 90.00
_cell_angle_gamma 90.00
_space_group_name_H-M_alt 'F -4 3 m'
_space_group_IT_number 216
_space_group_name_Hall 'F -4 2 3'
loop_
_atom_site_label
_atom_site_fract_x
_atom_site_fract_y
_atom_site_fract_z
Li1 0.000 0.000 0.000
Lu1 0.250 0.250 0.750
Cd1 0.250 0.250 0.250
Pt1 0.000 0.000 0.500

***

(12)
# LiLuCdRh | Alexandria | PBE | optimized geometry
# * VASP energy: -4.139 eV/atom
data_LiLuCdRh
_chemical_formula_sum 'Li4 Lu4 Cd4 Rh4'
_cell_length_a 6.650
_cell_length_b 6.650
_cell_length_c 6.650
_cell_angle_alpha 90.00
_cell_angle_beta 90.00
_cell_angle_gamma 90.00
_space_group_name_H-M_alt 'F -4 3 m'
_space_group_IT_number 216
_space_group_name_Hall 'F -4 2 3'
loop_
_atom_site_label
_atom_site_fract_x
_atom_site_fract_y
_atom_site_fract_z
Li1 0.000 0.000 0.000
Lu1 0.250 0.250 0.250
Cd1 0.250 0.250 0.750
Rh1 0.000 0.000 0.500